Entry from the Alexandria database: a relaxed MgSiTeI2 crystal (PBE-GGA).

* energy relative to the elements, uncorrected: 285 meV per atom
* N(E_F): 2.8 states/eV/f.u.
* excess energy over the best structure of this formula in the dataset: 74 kJ/mol of formula units

Unit cell a=5.4806 b=5.4806 c=5.7793 alpha=90.00 beta=90.00 gamma=90.00
Atoms (fractional coordinates):
Mg  0.0000  0.0000  0.0000
Si  0.5000  0.5000  0.5000
Te  0.0000  0.0000  0.5000
I  0.0000  0.5000  0.0000
I  0.5000  0.0000  0.0000



Entry from the Alexandria database: a relaxed TaTc2Ir crystal (PBE-GGA).

* formation energy: 0.405 eV/atom
* N(E_F): 5.3 states/eV/f.u.
* excess energy over the best structure of this formula in the dataset: 257 kJ/mol of formula units

Unit cell a=10.2291 b=10.2291 c=10.2291 alpha=159.30 beta=159.30 gamma=29.44
Atoms (fractional coordinates):
Ta  0.0000  0.0000  0.0000
Ta  0.7500  0.2500  0.5000
Tc  0.1312  0.6250  0.0062
Tc  0.3750  0.3812  0.5062
Tc  0.6188  0.1250  0.9938
Tc  0.8750  0.8688  0.4938
Ir  0.2500  0.7500  0.5000
Ir  0.5000  0.5000  0.0000



Entry from the Alexandria database: a relaxed Pu2RuAu crystal (PBE-GGA).

* formation energy: -0.125 eV/atom
* N(E_F): 15.3 states/eV/f.u.

Unit cell a=7.5055 b=7.5055 c=7.5055 alpha=30.40 beta=30.40 gamma=30.40
Atoms (fractional coordinates):
Pu  0.2386  0.2386  0.2386
Pu  0.7614  0.7614  0.7614
Ru  0.5000  0.5000  0.5000
Au  0.0000  0.0000  0.0000



Calculated volume for the records above, in order: 34.719; 16.713; 23.987 A^3/atom